The following is a DFT calculation (GGA+U) of an optimized crystal structure of FeC3F.

a = 3.6492 Å, b = 3.6492 Å, c = 3.6492 Å
α = 90.00°, β = 90.00°, γ = 90.00°
Last column: nearest neighbours and their distance in Å.
Space group Pm-3m (No. 221)
One atom of each set of equivalent atoms:
Fe (0.0000, 0.0000, 0.0000) [1 per cell]  6 C 1.82
C (0.0000, 0.0000, 0.5000) [3 per cell]  2 Fe 1.82
F (0.5000, 0.5000, 0.5000) [1 per cell]  12 C 2.58

Calculated values
**Energy above the lowest structure with this stoichiometry**: 0.00 eV per formula unit
**E_tot**: -4.760 eV per atom
**N(E_F)**: 4.3 states/eV/cell